Density functional theory data (GGA-PBE) for a geometry-optimized HoAg2Se2 structure.

Structure (CIF):
```
data_HoAg2Se2
_chemical_formula_sum 'Ho4 Ag8 Se8'
_cell_length_a 8.735
_cell_length_b 6.962
_cell_length_c 8.232
_cell_angle_alpha 90.00
_cell_angle_beta 114.26
_cell_angle_gamma 90.00
_space_group_name_H-M_alt 'C 1 2/c 1'
_space_group_IT_number 15
_space_group_name_Hall '-C 2yc'
loop_
_atom_site_label
_atom_site_fract_x
_atom_site_fract_y
_atom_site_fract_z
Ho1 0.000 0.154 0.250
Ag1 0.000 0.500 0.000
Ag2 0.250 0.250 0.000
Se1 0.205 0.086 0.635
```

Computed properties:
- total moment (μB/f.u.) = 0.00
- E_form (uncorrected) (eV/atom) = -0.654